LaY2Hg (PBE-GGA, relaxed); volume = 31.7 Å³ per atom
1.0
1.849 1.068 10.699
-1.849 1.068 10.699
0.000 -2.135 10.699
La Y Hg
1 2 1
direct
0.000 0.000 0.000
0.240 0.240 0.240
0.428 0.428 0.428
0.834 0.834 0.834



La2YHg (PBE-GGA, relaxed); volume = 33.4 Å³ per atom
1.0
1.874 1.082 10.966
-1.874 1.082 10.966
0.000 -2.164 10.966
La Y Hg
2 1 1
direct
0.000 0.000 0.000
0.178 0.178 0.178
0.756 0.756 0.756
0.589 0.589 0.589



LaYHg3 (PBE-GGA, relaxed); E above lowest polymorph = 0.594 eV/atom; volume = 34.5 Å³ per atom
1.0
5.566 0.000 0.000
0.000 5.566 0.000
0.000 0.000 5.566
La Y Hg
1 1 3
direct
0.000 0.000 0.000
0.500 0.500 0.500
0.000 0.500 0.500
0.500 0.000 0.500
0.500 0.500 0.000



LaY2Hg (PBE-GGA, relaxed); volume = 31.0 Å³ per atom
1.0
3.705 0.000 0.000
0.000 3.705 0.000
0.000 0.000 9.021
La Y Hg
1 2 1
direct
0.000 0.000 0.000
0.000 0.000 0.558
0.500 0.500 0.287
0.500 0.500 0.758



LaY2Hg5 (PBE-GGA, relaxed); volume = 26.0 Å³ per atom
1.0
-2.654 2.654 7.389
2.654 -2.654 7.389
2.654 2.654 -7.389
La Y Hg
1 2 5
direct
0.000 0.000 0.000
0.269 0.269 0.000
0.731 0.731 0.000
0.130 0.630 0.500
0.370 0.870 0.500
0.500 0.500 0.000
0.630 0.130 0.500
0.870 0.370 0.500



LaY3Hg (PBE-GGA, relaxed); E above lowest polymorph = 0.000 eV/atom; volume = 36.9 Å³ per atom
1.0
5.692 0.000 0.000
0.000 5.692 0.000
0.000 0.000 5.692
La Y Hg
1 3 1
direct
0.000 0.000 0.000
0.000 0.500 0.500
0.500 0.000 0.500
0.500 0.500 0.000
0.500 0.500 0.500



Q: Which E_form values were calculated for the entries above? A: -14.9; -13.1; 11.7; -21.8; -45.3; 13.7, in kJ/mol of atoms.